1.
Entry from Alexandria via LeMat-Bulk: YSeN after structural relaxation (GGA-PBE).

Values from the calculation:
distance to the lowest polymorph of the same formula: 0.10 eV/f.u.
ΔE_f (raw): -1190 meV per atom
space group: P2_1/c
electronic total energy: -7.282 eV/atom

a = 8.548 Å, b = 4.032 Å, c = 8.208 Å
α = 90.00°, β = 103.66°, γ = 90.00°
Element x y z (fractional)
Y 0.167 0.245 0.416
Y 0.167 0.255 0.916
Y 0.833 0.745 0.084
Y 0.833 0.755 0.584
Se 0.182 0.749 0.670
Se 0.182 0.751 0.170
Se 0.818 0.249 0.830
Se 0.818 0.251 0.330
N 0.440 0.071 0.485
N 0.440 0.429 0.985
N 0.560 0.571 0.015
N 0.560 0.929 0.515

2.
Entry from Alexandria via LeMat-Bulk: Ba3Na2IrO6 after structural relaxation (GGA-PBE).

Values from the calculation:
ΔE_f (raw): -1705 meV per atom
space group: P-3m1
electronic total energy: -5.623 eV/atom

a = 6.101 Å, b = 6.101 Å, c = 6.750 Å
α = 90.00°, β = 90.00°, γ = 120.00°
Element x y z (fractional)
Ba 0.000 0.000 0.000
Ba 0.333 0.667 0.610
Ba 0.667 0.333 0.390
Na 0.333 0.667 0.154
Na 0.667 0.333 0.846
Ir 0.000 0.000 0.500
O 0.157 0.313 0.322
O 0.157 0.843 0.322
O 0.313 0.157 0.678
O 0.687 0.843 0.322
O 0.843 0.157 0.678
O 0.843 0.687 0.678

3.
Entry from Alexandria via LeMat-Bulk: Pu2Pd4Pb3 after structural relaxation (GGA-PBE).

Values from the calculation:
energy of formation from the pure elements: -308 meV per atom
space group: Cmce
electronic total energy: -7.036 eV/atom

a = 9.205 Å, b = 9.205 Å, c = 7.460 Å
α = 90.00°, β = 90.00°, γ = 140.02°
Element x y z (fractional)
Pu 0.093 0.907 0.904
Pu 0.407 0.593 0.404
Pu 0.593 0.407 0.596
Pu 0.907 0.093 0.096
Pd 0.160 0.840 0.521
Pd 0.175 0.325 0.750
Pd 0.325 0.175 0.250
Pd 0.340 0.660 0.021
Pd 0.660 0.340 0.979
Pd 0.675 0.825 0.750
Pd 0.825 0.675 0.250
Pd 0.840 0.160 0.479
Pb 0.000 0.000 0.500
Pb 0.009 0.491 0.750
Pb 0.491 0.009 0.250
Pb 0.500 0.500 0.000
Pb 0.509 0.991 0.750
Pb 0.991 0.509 0.250